Record 1
NaLi2P2 | Alexandria | PBE | relaxed; formation energy = -0.429 eV/atom; crystal system = monoclinic; total DFT energy (no corrections) = -36.23 eV/cell
1.0
4.501 0.000 0.000
0.000 3.293 0.000
-0.986 0.000 11.630
Na Li P
2 4 4
Cartesian
0.628 0.823 3.115
2.887 2.469 8.515
0.631 2.469 5.602
0.619 0.823 10.053
2.897 2.469 1.577
2.884 0.823 6.027
0.648 2.469 0.353
0.632 0.823 7.546
2.883 2.469 4.083
2.868 0.823 11.277



Record 2
SrZnIr3 | Alexandria | PBE | relaxed; formation energy = 2.663 eV/atom; crystal system = cubic; total DFT energy (no corrections) = -16.22 eV/cell
1.0
4.977 0.000 0.000
0.000 4.977 0.000
0.000 0.000 4.977
Sr Zn Ir
1 1 3
Cartesian
0.000 0.000 0.000
2.488 2.488 2.488
0.000 0.000 2.488
0.000 2.488 0.000
2.488 0.000 0.000



Record 3
Zr2TeAs | Alexandria | PBE | relaxed; crystal system = trigonal; formation energy without anion corrections = -296 meV/atom; total DFT energy (no corrections) = -78.22 eV/cell
1.0
3.765 0.000 0.000
-1.883 3.261 0.000
0.000 0.000 25.695
Zr Te As
6 3 3
Cartesian
0.000 0.000 0.000
0.000 0.000 6.189
0.000 2.174 17.130
0.000 2.174 23.319
1.883 1.087 8.565
1.883 1.087 14.754
0.000 0.000 18.990
0.000 2.174 10.425
1.883 1.087 1.861
0.000 0.000 13.278
0.000 2.174 4.713
1.883 1.087 21.843



Record 4
NdAl2Rh | Alexandria | PBE | relaxed; formation energy = -0.615 eV/atom; crystal system = tetragonal; total DFT energy (no corrections) = -22.07 eV/cell
1.0
3.173 0.000 0.000
0.000 3.173 0.000
0.000 0.000 7.481
Nd Al Rh
1 2 1
Cartesian
0.000 0.000 0.000
1.586 1.586 2.357
1.586 1.586 5.124
0.000 0.000 3.741



Record 5
Sm2GdBr | Alexandria | PBE | relaxed; crystal system = trigonal; formation energy without anion corrections = -541 meV/atom; total DFT energy (no corrections) = -82.06 eV/cell
1.0
3.697 0.000 0.000
-1.848 3.201 0.000
0.000 0.000 31.313
Sm Gd Br
6 3 3
Cartesian
0.000 0.000 7.583
0.000 0.000 23.729
0.000 2.134 13.292
0.000 2.134 28.459
1.848 1.067 2.854
1.848 1.067 18.021
0.000 0.000 0.000
0.000 2.134 20.875
1.848 1.067 10.438
0.000 0.000 15.656
0.000 2.134 5.219
1.848 1.067 26.094



Record 6
K3CaW | Alexandria | PBE | relaxed; formation energy = 1.447 eV/atom; crystal system = cubic; total DFT energy (no corrections) = -11.01 eV/cell
1.0
6.767 0.000 0.000
0.000 6.767 0.000
0.000 0.000 6.767
K Ca W
3 1 1
Cartesian
0.000 0.000 3.384
0.000 3.384 0.000
3.384 0.000 0.000
3.384 3.384 3.384
0.000 0.000 0.000